DFT (GGA+U) results for a relaxed BaPmMn2O5 crystal.

Computed properties:
Calculated total energy   -0.5541 Ry/atom
M_tot   1.000 μB/atom

a = 4.0114 Å, b = 4.0114 Å, c = 7.8996 Å
α = 90.00°, β = 90.00°, γ = 90.00°
Last column: nearest neighbours and their distance in Å.
Space group P4/mmm (No. 123)
Inequivalent atoms, fractional coordinates:
1 Ba 0.0000 0.0000 0.0000 [1 per cell]  4 O 2.84
2 Pm 0.0000 0.0000 0.5000 [1 per cell]  8 O 2.49
3 Mn 0.5000 0.5000 0.2622 [2 per cell]  5 O 2.05-2.07
4 O 0.0000 0.5000 0.3132 [4 per cell]  2 Mn 2.05
5 O 0.5000 0.5000 0.0000 [1 per cell]  2 Mn 2.07